## Hf2Hg2Pb (PBE)

Data for a geometry-optimized Hf2Hg2Pb structure.

Output
**ΔE to the lowest computed polymorph**: 0.023 eV/atom
**Total DFT energy (no corrections)**: -4.51 eV/atom

Unit cell a=4.1177 b=4.1177 c=7.7268 alpha=105.45 beta=105.45 gamma=90.00
Last column: nearest neighbours and their distance in Å.
Element x y z (fractional)
Hf  0.5980  0.5980  0.1959  1 Hf 2.80, 4 Hg 3.00
Hf  0.4020  0.4020  0.8041  1 Hf 2.80, 4 Hg 3.00
Hg  0.7500  0.2500  0.5000  4 Hg 2.91, 4 Hf 3.00
Hg  0.2500  0.7500  0.5000  4 Hg 2.91, 4 Hf 3.00
Pb  0.0000  0.0000  0.0000  8 Hf 3.23



## Y3Ho2Lu3Te (PBE)

Data for a geometry-optimized Y3Ho2Lu3Te structure.

Output
**Total DFT energy (no corrections)**: -5.32 eV/atom

Unit cell a=9.1553 b=9.1553 c=3.7385 alpha=90.00 beta=90.00 gamma=120.00
Last column: nearest neighbours and their distance in Å.
Element x y z (fractional)
Ho  0.6667  0.3333  0.5000  3 Y 3.35, 6 Lu 3.40, 2 Ho 3.74
Ho  0.3333  0.6667  0.5000  3 Y 3.35, 6 Lu 3.40, 2 Ho 3.74
Lu  0.6150  0.0000  0.0000  4 Ho 3.40, 1 Te 3.53, 6 Y 3.63-3.66, 2 Lu 3.74
Lu  0.3850  0.3850  0.0000  4 Ho 3.40, 1 Te 3.53, 6 Y 3.63-3.66, 2 Lu 3.74
Lu  0.0000  0.6150  0.0000  4 Ho 3.40, 1 Te 3.53, 6 Y 3.63-3.66, 2 Lu 3.74
Te  0.0000  0.0000  0.0000  6 Y 3.14
Y  0.2752  0.0000  0.5000  2 Te 3.14, 2 Ho 3.35
Y  0.0000  0.2752  0.5000  2 Te 3.14, 2 Ho 3.35
Y  0.7248  0.7248  0.5000  2 Te 3.14, 2 Ho 3.35



## Cs2CuAsBr6 (PBE)

Data for a geometry-optimized Cs2CuAsBr6 structure.

Output
**Total DFT energy (no corrections)**: -2.96 eV/atom

Unit cell a=7.6442 b=7.6442 c=7.6442 alpha=60.00 beta=60.00 gamma=60.00
Last column: nearest neighbours and their distance in Å.
Element x y z (fractional)
As  0.0000  0.0000  0.0000  6 Br 2.72
Br  0.7488  0.2512  0.2512  1 Cu 2.69, 1 As 2.72
Br  0.2512  0.7488  0.2512  1 Cu 2.69, 1 As 2.72
Br  0.7488  0.7488  0.2512  1 Cu 2.69, 1 As 2.72
Br  0.2512  0.2512  0.7488  1 Cu 2.69, 1 As 2.72
Br  0.7488  0.2512  0.7488  1 Cu 2.69, 1 As 2.72
Br  0.2512  0.7488  0.7488  1 Cu 2.69, 1 As 2.72
Cs  0.2500  0.2500  0.2500  12 Br 3.82
Cs  0.7500  0.7500  0.7500  12 Br 3.82
Cu  0.5000  0.5000  0.5000  6 Br 2.69



## Nb4TlGeC2 (PBE)

Data for a geometry-optimized Nb4TlGeC2 structure.

Output
**Total DFT energy (no corrections)**: -8.62 eV/atom

Unit cell a=3.2411 b=3.2411 c=13.6250 alpha=90.00 beta=90.00 gamma=120.00
Last column: nearest neighbours and their distance in Å.
Element x y z (fractional)
C  0.6667  0.3333  0.2360  6 Nb 2.20-2.23
C  0.6667  0.3333  0.7640  6 Nb 2.20-2.23
Ge  0.0000  0.0000  0.0000  6 Nb 2.75
Nb  0.3333  0.6667  0.1475  3 C 2.23
Nb  0.0000  0.0000  0.3207  3 C 2.20
Nb  0.0000  0.0000  0.6793  3 C 2.20
Nb  0.3333  0.6667  0.8525  3 C 2.23
Tl  0.3333  0.6667  0.5000  6 Nb 3.08, 6 Tl 3.24



## Sc2CoOs3 (PBE)

Data for a geometry-optimized Sc2CoOs3 structure.

Output
**Total DFT energy (no corrections)**: -9.29 eV/atom

Unit cell a=5.1403 b=5.1403 c=8.3758 alpha=90.00 beta=90.00 gamma=120.00
Last column: nearest neighbours and their distance in Å.
Element x y z (fractional)
Co  0.0000  0.0000  0.0000  6 Os 2.58
Co  0.0000  0.0000  0.5000  6 Os 2.58
Os  0.1689  0.3379  0.2500  4 Os 2.53-2.61, 2 Co 2.58
Os  0.1689  0.8311  0.2500  4 Os 2.53-2.61, 2 Co 2.58
Os  0.6621  0.8311  0.2500  4 Os 2.53-2.61, 2 Co 2.58
Os  0.3379  0.1689  0.7500  4 Os 2.53-2.61, 2 Co 2.58
Os  0.8311  0.1689  0.7500  4 Os 2.53-2.61, 2 Co 2.58
Os  0.8311  0.6621  0.7500  4 Os 2.53-2.61, 2 Co 2.58
Sc  0.6667  0.3333  0.0672  9 Os 2.99-3.03, 3 Co 3.02, 4 Sc 3.06-3.17
Sc  0.6667  0.3333  0.4328  9 Os 2.99-3.03, 3 Co 3.02, 4 Sc 3.06-3.17
Sc  0.3333  0.6667  0.5672  9 Os 2.99-3.03, 3 Co 3.02, 4 Sc 3.06-3.17
Sc  0.3333  0.6667  0.9328  9 Os 2.99-3.03, 3 Co 3.02, 4 Sc 3.06-3.17



## DyCuSnS3 (PBE)

Data for a geometry-optimized DyCuSnS3 structure.

Output
**Total DFT energy (no corrections)**: -5.10 eV/atom

Unit cell a=8.9615 b=8.9615 c=7.8855 alpha=103.27 beta=103.27 gamma=25.02
Last column: nearest neighbours and their distance in Å.
Element x y z (fractional)
Cu  0.5363  0.5363  0.2070  4 S 2.33-2.54
Cu  0.4637  0.4637  0.7930  4 S 2.33-2.54
Dy  0.1618  0.1618  0.0814  6 S 2.70-2.77
Dy  0.8382  0.8382  0.9186  6 S 2.70-2.77
S  0.0000  0.0000  0.0000  4 Cu 2.52, 2 Dy 2.75
S  0.3244  0.3244  0.1520  3 Dy 2.72-2.77, 2 Sn 2.93
S  0.6715  0.6715  0.3236  1 Cu 2.33
S  0.5000  0.5000  0.5000  2 Cu 2.54
S  0.3285  0.3285  0.6764  1 Cu 2.33
S  0.6756  0.6756  0.8480  3 Dy 2.72-2.77, 2 Sn 2.93
Sn  0.8756  0.8756  0.4350  6 S 2.87-2.97
Sn  0.1244  0.1244  0.5650  6 S 2.87-2.97



## SnSbPd (PBE)

Data for a geometry-optimized SnSbPd structure.

Output
**ΔE to the lowest computed polymorph**: 0.000 eV/atom
**Total DFT energy (no corrections)**: -4.76 eV/atom

Unit cell a=4.6593 b=4.6593 c=4.6593 alpha=60.00 beta=60.00 gamma=60.00
Last column: nearest neighbours and their distance in Å.
Element x y z (fractional)
Pd  0.0000  0.0000  0.0000  4 Sn 2.85, 4 Sb 2.85
Sb  0.2500  0.2500  0.2500  4 Pd 2.85
Sn  0.7500  0.7500  0.7500  4 Pd 2.85



## HfZr2NiAs4Pd3 (PBE)

Data for a geometry-optimized HfZr2NiAs4Pd3 structure.

Output
**ΔE to the lowest computed polymorph**: 0.001 eV/atom
**Total DFT energy (no corrections)**: -6.89 eV/atom

Unit cell a=6.6279 b=3.9097 c=7.5948 alpha=90.00 beta=90.36 gamma=90.00
Last column: nearest neighbours and their distance in Å.
Element x y z (fractional)
As  0.7582  0.0000  0.0945  2 Ni 2.41, 2 Pd 2.58-2.65
As  0.2504  0.0000  0.3770  4 Pd 2.51-2.77, 2 Hf 2.79, 1 Zr 2.80
As  0.7505  0.5000  0.6454  1 Ni 2.45, 3 Pd 2.58-2.64, 2 Zr 2.73
As  0.2329  0.5000  0.8786  3 Pd 2.47-2.57, 1 Ni 2.65, 1 Zr 2.65
Hf  0.5412  0.5000  0.3159  5 As 2.79-2.96, 1 Ni 2.85, 4 Pd 2.92-2.96
Ni  0.6252  0.5000  0.9481  4 As 2.41-2.65
Pd  0.3703  0.0000  0.0640  4 As 2.51-2.58, 2 Ni 2.73
Pd  0.8383  0.0000  0.4375  4 As 2.58-2.77
Pd  0.1370  0.5000  0.5634  4 As 2.47-2.64
Zr  0.0298  0.5000  0.1784  5 As 2.65-2.86
Zr  0.4682  0.0000  0.6944  5 As 2.73-2.87, 1 Pd 2.88, 2 Ni 2.93



## CsSmPtSe3 (PBE)

Data for a geometry-optimized CsSmPtSe3 structure.

Output
**Total DFT energy (no corrections)**: -4.81 eV/atom

Unit cell a=8.7585 b=8.7585 c=10.4956 alpha=90.00 beta=90.00 gamma=152.88
Last column: nearest neighbours and their distance in Å.
Element x y z (fractional)
Cs  0.7511  0.2489  0.2500  6 Se 3.59-3.60
Cs  0.2489  0.7511  0.7500  6 Se 3.59-3.60
Pt  0.0133  0.9867  0.2500  4 Se 2.52-2.56
Pt  0.9867  0.0133  0.7500  4 Se 2.52-2.56
Se  0.1150  0.8850  0.0749  1 Pt 2.52
Se  0.4239  0.5761  0.2500  2 Pt 2.56
Se  0.1150  0.8850  0.4251  1 Pt 2.52
Se  0.8850  0.1150  0.5749  1 Pt 2.52
Se  0.5761  0.4239  0.7500  2 Pt 2.56
Se  0.8850  0.1150  0.9251  1 Pt 2.52
Sm  0.5000  0.5000  0.0000  6 Se 2.93-2.94
Sm  0.5000  0.5000  0.5000  6 Se 2.93-2.94



## Dy2ErTl2Cd4 (PBE)

Data for a geometry-optimized Dy2ErTl2Cd4 structure.

Output
**Total DFT energy (no corrections)**: -2.77 eV/atom

Unit cell a=4.5526 b=7.5394 c=7.5394 alpha=119.85 beta=90.00 gamma=90.00
Last column: nearest neighbours and their distance in Å.
Element x y z (fractional)
Cd  0.5000  0.2407  0.0000  4 Cd 2.91-3.15, 2 Tl 2.93
Cd  0.0000  0.0015  0.0015  6 Cd 2.91-2.92, 1 Er 3.22, 2 Dy 3.23
Cd  0.5000  0.0000  0.2407  4 Cd 2.91-3.15, 2 Tl 2.93
Cd  0.5000  0.7597  0.7597  4 Cd 2.92-3.15, 2 Tl 2.92
Dy  0.0000  0.9996  0.5721  4 Tl 3.20, 3 Cd 3.23-3.38
Dy  0.0000  0.5721  0.9996  4 Tl 3.20, 3 Cd 3.23-3.38
Er  0.0000  0.4272  0.4272  4 Tl 3.19, 3 Cd 3.22-3.39
Tl  0.5000  0.6656  0.3337  3 Cd 2.92-2.93, 2 Er 3.19, 4 Dy 3.20
Tl  0.5000  0.3337  0.6656  3 Cd 2.92-2.93, 2 Er 3.19, 4 Dy 3.20